K2NaRu2 | PBE-GGA | relaxed

extended XYZ file:
```
10
Lattice="-8.5143 -3.2296 4.4529 5.3994 -3.3390 7.9025 -0.2898 2.4841 1.2476" Properties=species:S:1:pos:R:3 pbc="T T T"
Na 0.0000 0.0000 0.0000
K -0.0502 -1.6479 3.2695
K -3.0647 -4.9207 9.0859
Ru 2.3131 -0.9372 5.5338
K -4.8728 -2.9130 4.6683
Ru -3.3223 -0.3813 3.1179
K 1.7579 -3.6556 7.6870
Na -1.5574 -3.2843 6.1777
Ru -5.7178 -3.1473 8.0691
Ru -0.0823 -3.7033 10.4850
```

Properties
energy above the most stable polymorph in this dataset	383.2	meV/atom
symmetry	P4/mbm (127)
energy relative to the elements	0.998	eV per atom
total energy	-3.415	eV per atom

=====

KNa2Ru | PBE-GGA | relaxed

extended XYZ file:
```
8
Lattice="4.7756 0.0000 0.0000 0.0000 4.7756 0.0000 2.3878 2.3878 11.0837" Properties=species:S:1:pos:R:3 pbc="T T T"
Ru 0.0000 0.0000 0.0000
Na 3.8047 1.1939 2.7709
K 2.3878 4.7756 5.5418
K 2.3878 2.3878 0.0000
Ru 4.7756 2.3878 5.5418
Na 3.5817 3.3587 8.3127
Na 5.9695 6.1925 8.3127
Na 0.9709 3.5817 2.7709
```

Properties
symmetry	I-42d (122)
energy relative to the elements	1.058	eV per atom
total energy	-2.194	eV per atom

=====

K2NaRu2 | PBE-GGA | relaxed

extended XYZ file:
```
5
Lattice="3.5022 0.0000 0.0000 0.0000 3.5022 0.0000 1.7511 1.7511 12.9484" Properties=species:S:1:pos:R:3 pbc="T T T"
Ru 1.7511 3.5022 6.4742
K 3.5022 3.5022 9.3963
Ru 3.5022 1.7511 6.4742
K 1.7511 1.7511 3.5521
Na 0.0000 0.0000 0.0000
```

Properties
energy above the most stable polymorph in this dataset	0.0	meV/atom
symmetry	I4/mmm (139)
energy relative to the elements	0.615	eV per atom
total energy	-3.798	eV per atom

=====

KNaRuS2 | PBE-GGA | relaxed

extended XYZ file:
```
5
Lattice="4.7107 0.0000 0.0000 0.0000 5.5502 0.0000 0.0000 0.0000 4.7107" Properties=species:S:1:pos:R:3 pbc="T T T"
S 0.0000 0.0000 2.3553
S 2.3553 0.0000 0.0000
K 0.0000 2.7751 0.0000
Na 2.3553 2.7751 2.3553
Ru 0.0000 0.0000 0.0000
```

Properties
symmetry	P4/mmm (123)
total energy	-3.987	eV per atom

=====

KNaTc2Ru | PBE-GGA | relaxed

extended XYZ file:
```
5
Lattice="-4.2035 -1.4005 -1.5844 0.0414 -4.5602 3.9210 -2.1144 2.7295 3.1968" Properties=species:S:1:pos:R:3 pbc="T T T"
K 0.0207 -2.2801 1.9605
Ru 0.0000 0.0000 0.0000
Tc -1.0572 1.3648 1.5984
Tc -2.1017 -0.7002 -0.7922
Na -3.1382 -1.6156 2.7667
```

Properties
symmetry	P4/mmm (123)
energy relative to the elements	1.386	eV per atom
total energy	-5.099	eV per atom

=====

KNaRu2W | PBE-GGA | relaxed

extended XYZ file:
```
5
Lattice="-2.9926 -1.1638 -3.4170 2.4831 -3.9718 -0.8219 -2.6526 -2.3013 3.1070" Properties=species:S:1:pos:R:3 pbc="T T T"
Na -1.5811 -3.7184 -0.5659
W 1.2415 -1.9859 -0.4109
Ru -1.4963 -0.5819 -1.7085
K 0.0000 0.0000 0.0000
Ru -1.3263 -1.1506 1.5535
```

Properties
symmetry	P4/mmm (123)
energy relative to the elements	3.165	eV per atom
total energy	-3.619	eV per atom

=====

KNa3S | PBE-GGA | relaxed

extended XYZ file:
```
5
Lattice="-0.4439 -2.1008 -5.5519 -4.5672 -3.4354 1.6651 -3.7918 4.3839 -1.3557" Properties=species:S:1:pos:R:3 pbc="T T T"
Na -0.2219 -1.0504 -2.7759
Na -2.2836 -1.7177 0.8325
K 0.0000 0.0000 0.0000
Na -1.8959 2.1919 -0.6778
S -4.4014 -0.5762 -2.6212
```

Properties
energy above the most stable polymorph in this dataset	959.5	meV/atom
symmetry	Pm-3m (221)
total energy	-1.338	eV per atom

=====

KNaS3 | PBE-GGA | relaxed

extended XYZ file:
```
5
Lattice="5.2429 0.0000 0.0000 0.0000 5.2429 0.0000 0.0000 0.0000 5.2429" Properties=species:S:1:pos:R:3 pbc="T T T"
S 0.0000 2.6215 0.0000
Na 0.0000 0.0000 0.0000
S 2.6215 0.0000 0.0000
S 0.0000 0.0000 2.6215
K 2.6215 2.6215 2.6215
```

Properties
energy above the most stable polymorph in this dataset	0.0	meV/atom
symmetry	Pm-3m (221)
total energy	-2.799	eV per atom

=====

K2NaS8 | PBE-GGA | relaxed

extended XYZ file:
```
11
Lattice="-4.3460 -3.8832 1.3501 0.0931 -3.1902 -5.0692 5.3968 -8.0739 0.0788" Properties=species:S:1:pos:R:3 pbc="T T T"
S 2.4341 -12.7493 -4.0398
S -1.6936 -8.6936 -1.6659
S -3.5398 -4.9879 -1.6894
K 1.3537 -9.9118 -2.2154
K -0.2098 -5.2354 -1.4249
S -1.2902 -2.3979 0.3995
S 4.6836 -10.1593 -1.9509
S 2.8374 -6.4536 -1.9744
S 2.9724 -8.0330 -4.5252
S -1.8286 -7.1142 0.8849
Na 0.0000 0.0000 0.0000
```

Properties
symmetry	P-1 (2)
total energy	-3.698	eV per atom

=====

KNa2S8 | PBE-GGA | relaxed

extended XYZ file:
```
11
Lattice="-3.7697 -3.5560 2.9958 -0.1049 -4.3168 -5.2561 8.0132 2.2096 6.7261" Properties=species:S:1:pos:R:3 pbc="T T T"
S 0.1618 -2.9150 -3.2565
S 0.0688 -4.6570 0.5387
Na 1.9818 -3.0560 -1.1337
K -1.8849 -1.7780 1.4979
S 0.5533 -2.8606 3.2809
Na 2.1568 -2.6072 5.5994
S 2.9651 -1.2566 2.2395
S 3.9768 -2.7482 7.7222
S 3.5853 -2.8026 1.1848
S 1.1735 -4.4066 2.2263
S 4.0698 -1.0061 3.9270
```

Properties
symmetry	C2/m (12)
total energy	-3.750	eV per atom

=====

KNa2S2 | PBE-GGA | relaxed

extended XYZ file:
```
5
Lattice="-0.3036 4.5635 -0.5365 -1.7584 -0.6121 -4.2117 -6.5838 1.8805 -0.0419" Properties=species:S:1:pos:R:3 pbc="T T T"
Na -3.9592 4.2098 -1.4762
Na -4.6866 1.6221 -3.3139
S -6.2754 3.8792 -2.9786
K 0.0000 0.0000 0.0000
S -2.3703 1.9527 -1.8116
```

Properties
energy above the most stable polymorph in this dataset	9.0	meV/atom
symmetry	I4/mmm (139)
total energy	-3.200	eV per atom

=====

K2NaS | PBE-GGA | relaxed

extended XYZ file:
```
8
Lattice="-0.3573 8.8527 8.0875 -4.2072 -7.6693 8.2090 0.2066 0.0172 8.8871" Properties=species:S:1:pos:R:3 pbc="T T T"
Na -2.2823 0.5917 8.1483
S -1.2165 4.7308 12.5614
K -2.9137 3.5308 14.9530
K -0.7776 1.8771 11.2562
K -0.7638 6.2181 9.8004
Na -3.1414 -3.5301 12.6222
S 0.0000 0.0000 0.0000
K -0.4110 7.2974 14.2361
```

Properties
symmetry	I-42d (122)
total energy	-2.564	eV per atom